Here is Ac2Cd3Sn4Pd after structural relaxation from Alexandria. Energies are from PBE.

Values from the calculation:
Symmetry: No. 115
Electronic total energy (eV/atom): -3.655
Formation energy from the elements (eV per atom): -0.44

Unit cell a=4.796 b=4.796 c=11.885 alpha=90.00 beta=90.00 gamma=90.00
Fractional coordinates of all 10 atoms:
Ac (0.500, 0.000, 0.270)
Ac (0.000, 0.500, 0.730)
Cd (0.000, 0.000, 0.500)
Cd (0.500, 0.000, 0.857)
Cd (0.000, 0.500, 0.143)
Sn (0.500, 0.500, 0.000)
Sn (0.000, 0.000, 0.000)
Sn (0.500, 0.000, 0.625)
Sn (0.000, 0.500, 0.375)
Pd (0.500, 0.500, 0.500)